No. 1
RbSn3P3, optimized geometry, DFT GGA-PBE; magnetic moment = 0.0000 μB per atom; V = 429.8 Å³/cell; energy relative to the elements = -0.344 eV/f.u.
1.0
6.481 0.000 2.058
2.914 5.789 2.058
-0.061 -0.037 11.427
P Rb Sn
6 2 6
Direct
0.251 0.919 0.243
0.412 0.749 0.757
0.919 0.588 0.243
0.588 0.251 0.243
0.749 0.081 0.757
0.081 0.412 0.757
0.333 0.333 0.000
0.667 0.667 0.000
0.786 0.455 0.639
0.545 0.880 0.361
0.880 0.214 0.361
0.455 0.120 0.639
0.214 0.545 0.361
0.120 0.786 0.639


No. 2
RbSnP, optimized geometry, DFT GGA-PBE; magnetic moment = 0.0000 μB per atom; V = 189.7 Å³/cell; energy relative to the elements = -0.583 eV/f.u.
1.0
3.373 0.000 0.001
0.005 4.867 -0.003
1.654 1.795 11.557
P Sn Rb
2 2 2
Direct
0.229 0.887 0.043
0.771 0.113 0.957
0.952 0.224 0.571
0.048 0.776 0.429
0.355 0.650 0.781
0.645 0.350 0.219


No. 3
RbSn3P, optimized geometry, DFT GGA-PBE; magnetic moment = 0.0000 μB per atom; V = 164.7 Å³/cell; energy relative to the elements = 1.224 eV/f.u.; distance to the lowest polymorph of the same formula = 0.000 eV per atom
1.0
-3.789 -3.956 0.188
0.325 -0.570 -5.442
3.948 -3.751 0.629
Sn Rb P
3 1 1
Direct
0.000 0.000 0.500
0.500 0.000 0.000
0.000 0.500 0.000
0.500 0.500 0.500
0.000 0.000 0.000


No. 4
RbSnP, optimized geometry, DFT GGA-PBE; magnetic moment = 0.0000 μB per atom; V = 211.1 Å³/cell; energy relative to the elements = -0.867 eV/f.u.
1.0
-0.771 -1.023 3.867
-6.048 -4.035 -2.274
6.902 -3.530 0.443
Sn Rb P
2 2 2
Direct
0.250 0.722 0.602
0.750 0.278 0.398
0.250 0.800 0.157
0.750 0.200 0.843
0.750 0.611 0.749
0.250 0.389 0.251


No. 5
Rb2SnP, optimized geometry, DFT GGA-PBE; magnetic moment = 0.0000 μB per atom; V = 439.5 Å³/cell; energy relative to the elements = -0.086 eV/f.u.; distance to the lowest polymorph of the same formula = 0.247 eV per atom
1.0
-9.993 1.472 -8.216
-5.289 -11.032 4.456
-8.927 -3.435 -0.075
Rb Sn P
4 2 2
Direct
0.375 0.569 0.750
0.875 0.681 0.750
0.431 0.125 0.250
0.319 0.625 0.250
0.000 0.000 0.000
0.750 0.250 0.500
0.250 0.750 0.500
0.500 0.500 0.000


No. 6
RbSn2P2, optimized geometry, DFT GGA-PBE; magnetic moment = 0.0000 μB per atom; V = 135.2 Å³/cell; energy relative to the elements = -0.509 eV/f.u.
1.0
-2.695 2.339 3.698
-3.575 -3.682 -0.276
-0.622 -3.377 5.254
P Sn Rb
2 2 1
Direct
0.250 0.750 0.500
0.750 0.250 0.500
0.343 0.343 0.314
0.657 0.657 0.686
0.000 0.000 0.000


No. 7
RbSn3P, optimized geometry, DFT GGA-PBE; magnetic moment = 0.0474 μB per atom; V = 214.6 Å³/cell; energy relative to the elements = 8.804 eV/f.u.; distance to the lowest polymorph of the same formula = 1.516 eV per atom
1.0
-2.025 -5.561 0.906
-0.165 -0.904 -5.916
5.632 -2.026 0.153
Rb P Sn
1 1 3
Direct
0.000 0.000 0.000
0.500 0.500 0.500
0.000 0.500 0.000
0.500 0.000 0.000
0.000 0.000 0.500


No. 8
RbSnP, optimized geometry, DFT GGA-PBE; magnetic moment = 0.0000 μB per atom; V = 97.1 Å³/cell; energy relative to the elements = -0.956 eV/f.u.
1.0
4.080 0.000 0.000
-2.040 3.534 0.000
0.000 0.000 6.731
P Rb Sn
1 1 1
Direct
0.333 0.667 0.612
0.000 0.000 0.964
0.667 0.333 0.424